(1)
A relaxed structure of PrCuAg2, computed with PBE.

## Properties
Its energy above the most stable polymorph in this dataset is 171 meV/atom.

Unit cell a=3.462 b=3.462 c=6.949 alpha=90.00 beta=90.00 gamma=90.00
Element x y z (fractional)
Pr  0.500  0.500  0.500
Cu  0.500  0.500  0.000
Ag  0.000  0.000  0.803
Ag  0.000  0.000  0.197



(2)
A relaxed structure of PrCu8Ag3, computed with PBE.

Unit cell a=5.040 b=5.040 c=8.283 alpha=90.00 beta=90.00 gamma=120.00
Element x y z (fractional)
Pr  0.000  0.000  0.565
Cu  0.333  0.667  0.498
Cu  0.333  0.667  0.999
Cu  0.502  0.004  0.762
Cu  0.502  0.498  0.762
Cu  0.996  0.498  0.762
Cu  0.167  0.333  0.243
Cu  0.167  0.833  0.243
Cu  0.667  0.833  0.243
Ag  0.667  0.333  0.412
Ag  0.667  0.333  0.057
Ag  0.000  0.000  0.953



(3)
A relaxed structure of PrCuAg2, computed with PBE.

## Properties
Its energy above the most stable polymorph in this dataset is 93 meV/atom.

Unit cell a=4.579 b=4.579 c=5.512 alpha=65.46 beta=65.46 gamma=60.00
Element x y z (fractional)
Pr  0.000  0.000  0.000
Cu  0.500  0.500  0.500
Ag  0.786  0.786  0.641
Ag  0.214  0.214  0.359



(4)
A relaxed structure of Pr5Cu4Ag, computed with PBE.

Unit cell a=3.628 b=3.628 c=18.524 alpha=90.00 beta=90.00 gamma=90.00
Element x y z (fractional)
Pr  0.500  0.500  0.109
Pr  0.500  0.500  0.304
Pr  0.500  0.500  0.500
Pr  0.500  0.500  0.696
Pr  0.500  0.500  0.891
Cu  0.000  0.000  0.206
Cu  0.000  0.000  0.402
Cu  0.000  0.000  0.598
Cu  0.000  0.000  0.794
Ag  0.000  0.000  0.000



(5)
A relaxed structure of PrCuAg2, computed with PBE.

## Properties
Its energy above the most stable polymorph in this dataset is 0 meV/atom.

Unit cell a=5.375 b=5.412 c=7.216 alpha=67.97 beta=79.08 gamma=59.66
Element x y z (fractional)
Pr  0.250  0.136  0.728
Pr  0.750  0.864  0.272
Cu  0.250  0.751  0.498
Cu  0.750  0.249  0.502
Ag  0.591  0.413  0.831
Ag  0.909  0.756  0.831
Ag  0.409  0.587  0.169
Ag  0.091  0.244  0.169



(6)
A relaxed structure of Pr2CuAg, computed with PBE.

## Properties
Its energy above the most stable polymorph in this dataset is 198 meV/atom.

Unit cell a=4.019 b=4.019 c=8.417 alpha=76.19 beta=76.19 gamma=60.00
Element x y z (fractional)
Pr  0.743  0.743  0.771
Pr  0.257  0.257  0.229
Cu  0.000  0.000  0.000
Ag  0.500  0.500  0.500



Values for calculated formation energy, eV/atom, ordered as above
-0.03; -0.03; -0.10; -0.14; -0.20; 0.02
Values for D(E_F), states/eV per cell, ordered as above
2.17; 4.34; 2.29; 9.33; 4.96; 4.38